Entry from Alexandria: a relaxed BaMgSe2 crystal (PBE).

Cell lengths 5.0485, 5.0485, 23.9163 Å; angles 90.00, 90.00, 120.00 degrees
Space group R-3m (No. 166, hexagonal axes)
One atom of each set of equivalent atoms:
Ba 0.0000 0.0000 0.0000 x3
Mg 0.0000 0.0000 0.5000 x3
Se 0.0000 0.0000 0.4003 x6

Results
Spin magnetization in μB/cell: 0.00
E_form (uncorrected) in eV/atom: -1.290